DFT (PBE) results for a relaxed PrDyBiAs crystal. Values from VASP.

Structure (Quantum ESPRESSO input):
```
&SYSTEM
  ibrav = 0, nat = 4, ntyp = 4
/
ATOMIC_SPECIES
As 74.92 As.upf
Dy 162.50 Dy.upf
Pr 140.91 Pr.upf
Bi 208.98 Bi.upf
CELL_PARAMETERS angstrom
4.354 0.000 0.000
2.177 3.771 0.000
2.177 1.257 7.253
ATOMIC_POSITIONS angstrom
As 2.177 1.257 1.893
Dy 4.354 2.514 3.461
Pr 6.532 3.771 0.165
Bi 6.532 3.771 5.361
```

Output
The calculation puts the formation energy at -1185 meV per atom.



DFT (PBE) results for a relaxed RbSb12Os4 crystal. Values from VASP.

Structure (Quantum ESPRESSO input):
```
&SYSTEM
  ibrav = 0, nat = 17, ntyp = 3
/
ATOMIC_SPECIES
Os 190.23 Os.upf
Sb 121.76 Sb.upf
Rb 85.47 Rb.upf
CELL_PARAMETERS angstrom
7.725 0.000 -2.731
-3.863 6.690 -2.731
0.000 0.000 8.194
ATOMIC_POSITIONS angstrom
Os -1.931 3.345 -1.366
Sb -1.830 5.628 0.007
Os 0.000 0.000 4.097
Rb 0.000 0.000 0.000
Sb 0.603 5.628 1.728
Sb 0.709 3.354 -1.003
Os 1.931 3.345 1.366
Sb 3.153 3.336 3.735
Sb 1.926 5.461 -2.724
Sb 1.937 1.229 5.455
Sb 3.958 4.399 -0.007
Sb -0.096 2.291 2.739
Sb 5.693 1.063 2.724
Os 3.863 0.000 -1.366
Sb -1.313 4.399 4.459
Sb 5.175 2.291 -1.728
Sb 3.259 1.063 1.003
```

Output
Its energy relative to the elements, uncorrected is -0.05 eV/atom.



DFT (PBE) results for a relaxed PuCdNi crystal. Values from VASP.

Structure (Quantum ESPRESSO input):
```
&SYSTEM
  ibrav = 0, nat = 3, ntyp = 3
/
ATOMIC_SPECIES
Cd 112.41 Cd.upf
Ni 58.69 Ni.upf
Pu 244.00 Pu.upf
CELL_PARAMETERS angstrom
-1.853 0.686 -2.437
-2.395 -1.454 1.411
0.562 5.508 3.142
ATOMIC_POSITIONS angstrom
Cd -0.081 0.266 0.136
Ni -2.632 1.282 0.342
Pu -0.973 3.192 1.638
```

Output
The calculation puts the formation energy at -25 meV per atom.



DFT (PBE) results for a relaxed Mn2CuOs crystal. Values from VASP.

Structure (Quantum ESPRESSO input):
```
&SYSTEM
  ibrav = 0, nat = 4, ntyp = 3
/
ATOMIC_SPECIES
Mn 54.94 Mn.upf
Cu 63.55 Cu.upf
Os 190.23 Os.upf
CELL_PARAMETERS angstrom
8.587 0.003 0.002
8.188 2.587 0.002
8.188 1.264 2.257
ATOMIC_POSITIONS angstrom
Mn 12.484 1.927 1.130
Cu 18.723 2.891 1.695
Os 6.241 0.964 0.565
Mn 24.962 3.854 2.260
```

Output
The calculation puts the formation energy at 245 meV per atom.



DFT (PBE) results for a relaxed LiTmTaOs crystal. Values from VASP.

Structure (Quantum ESPRESSO input):
```
&SYSTEM
  ibrav = 0, nat = 4, ntyp = 4
/
ATOMIC_SPECIES
Os 190.23 Os.upf
Ta 180.95 Ta.upf
Li 6.94 Li.upf
Tm 168.93 Tm.upf
CELL_PARAMETERS angstrom
4.633 0.000 0.000
2.316 4.012 0.000
2.316 1.337 3.783
ATOMIC_POSITIONS angstrom
Os 4.633 2.675 1.891
Ta 2.316 1.337 0.946
Li 0.000 0.000 0.000
Tm 6.949 4.012 2.837
```

Output
The calculation puts the formation energy at -109 meV per atom.



DFT (PBE) results for a relaxed LaDyNb2O8 crystal. Values from VASP.

Structure (Quantum ESPRESSO input):
```
&SYSTEM
  ibrav = 0, nat = 12, ntyp = 4
/
ATOMIC_SPECIES
O 16.00 O.upf
Dy 162.50 Dy.upf
La 138.91 La.upf
Nb 92.91 Nb.upf
CELL_PARAMETERS angstrom
-2.826 -4.525 0.400
4.484 -2.703 1.102
-1.609 4.594 4.822
ATOMIC_POSITIONS angstrom
O -1.506 -4.161 2.388
O 0.846 1.461 4.723
O -2.141 0.166 4.532
O 1.312 -4.918 2.041
Dy 0.000 0.000 0.000
La -1.803 -1.773 2.986
O 2.666 -2.442 2.670
O 0.081 -1.978 1.352
Nb 0.829 -3.614 0.751
O -1.346 2.722 3.320
Nb 1.852 -0.862 3.338
O 0.284 -1.388 4.270
```

Output
Its energy relative to the elements, uncorrected is -3.09 eV/atom.